# 1
! Ce4CdSi2 (PBE-GGA, optimized geometry); values from VASP
&SYSTEM
  ibrav = 0, nat = 7, ntyp = 3
/
ATOMIC_SPECIES
Ce 140.12 Ce.upf
Cd 112.41 Cd.upf
Si 28.09 Si.upf
ATOMIC_POSITIONS angstrom
Ce 0.000 0.000 3.903
Ce 0.000 0.000 11.384
Ce 0.000 0.000 25.099
Ce 0.000 0.000 32.580
Cd 0.000 0.000 18.241
Si 0.000 0.000 14.528
Si 0.000 0.000 21.954
CELL_PARAMETERS angstrom
2.143 1.238 12.161
-2.143 1.238 12.161
0.000 -2.475 12.161
! - Size of the total moment: 4.0 μB/f.u.
! - Uncorrected energy: -37.14 eV/cell
! - V: 27.648 Å³/atom
! - Formation energy (no corrections): -0.23 eV/atom
! - Space-group type: R-3m
! - Theoretical density: 6.26 g cm⁻³

# 2
! KCu2Ni (PBE-GGA, optimized geometry); values from VASP
&SYSTEM
  ibrav = 0, nat = 4, ntyp = 3
/
ATOMIC_SPECIES
K 39.10 K.upf
Cu 63.55 Cu.upf
Ni 58.69 Ni.upf
ATOMIC_POSITIONS angstrom
K 0.000 0.000 0.000
Cu 0.000 2.470 2.482
Cu 1.340 0.000 2.482
Ni 1.340 2.470 0.000
CELL_PARAMETERS angstrom
2.679 0.000 0.000
0.000 4.941 0.000
0.000 0.000 4.965
! - Size of the total moment: 0.2 μB/f.u.
! - Uncorrected energy: -11.85 eV/cell
! - V: 16.432 Å³/atom
! - Space-group type: Pmmm
! - E above lowest polymorph: 39.40 kJ/mol of atoms
! - Theoretical density: 5.68 g cm⁻³

# 3
! Cd2AgSn (PBE-GGA, optimized geometry); values from VASP
&SYSTEM
  ibrav = 0, nat = 4, ntyp = 3
/
ATOMIC_SPECIES
Cd 112.41 Cd.upf
Ag 107.87 Ag.upf
Sn 118.71 Sn.upf
ATOMIC_POSITIONS angstrom
Cd 0.000 0.000 1.604
Cd 0.000 0.000 5.795
Ag 1.749 1.749 0.000
Sn 1.749 1.749 3.700
CELL_PARAMETERS angstrom
3.498 0.000 0.000
0.000 3.498 0.000
0.000 0.000 7.400
! - Size of the total moment: 0.0 μB/f.u.
! - Uncorrected energy: -8.48 eV/cell
! - V: 22.636 Å³/atom
! - Space-group type: P4/mmm
! - Theoretical density: 8.28 g cm⁻³

# 4
! MgSiAs2 (PBE-GGA, optimized geometry); values from VASP
&SYSTEM
  ibrav = 0, nat = 4, ntyp = 3
/
ATOMIC_SPECIES
Mg 24.30 Mg.upf
Si 28.09 Si.upf
As 74.92 As.upf
ATOMIC_POSITIONS angstrom
Mg 0.000 0.000 0.000
Si 0.000 0.000 14.166
As 0.000 0.000 7.206
As 0.000 0.000 21.126
CELL_PARAMETERS angstrom
1.511 0.872 9.444
-1.511 0.872 9.444
0.000 -1.745 9.444
! - Size of the total moment: 0.0 μB/f.u.
! - Uncorrected energy: -15.20 eV/cell
! - V: 18.675 Å³/atom
! - Formation energy (no corrections): 0.28 eV/atom
! - Space-group type: R-3m
! - E above lowest polymorph: 57.38 kJ/mol of atoms
! - Theoretical density: 4.50 g cm⁻³

# 5
! Hf5Ti2Sn4 (PBE-GGA, optimized geometry); values from VASP
&SYSTEM
  ibrav = 0, nat = 11, ntyp = 3
/
ATOMIC_SPECIES
Hf 178.49 Hf.upf
Ti 47.87 Ti.upf
Sn 118.71 Sn.upf
ATOMIC_POSITIONS angstrom
Hf 0.000 0.000 0.000
Hf 5.313 0.000 4.937
Hf 7.012 0.000 0.653
Hf 14.696 0.000 6.647
Hf 16.394 0.000 2.363
Ti 2.588 0.000 4.096
Ti 19.120 0.000 3.204
Sn 8.175 0.000 5.745
Sn 9.899 0.000 2.166
Sn 11.808 0.000 5.133
Sn 13.532 0.000 1.554
CELL_PARAMETERS angstrom
11.404 -1.531 0.000
11.404 1.531 0.000
-1.101 0.000 7.300
! - Size of the total moment: 0.0 μB/f.u.
! - Uncorrected energy: -82.27 eV/cell
! - V: 23.177 Å³/atom
! - Space-group type: C2/m
! - Theoretical density: 9.53 g cm⁻³

# 6
! NaTc2RuS (PBE-GGA, optimized geometry); values from VASP
&SYSTEM
  ibrav = 0, nat = 5, ntyp = 4
/
ATOMIC_SPECIES
Na 22.99 Na.upf
Tc 98.00 Tc.upf
Ru 101.07 Ru.upf
S 32.06 S.upf
ATOMIC_POSITIONS angstrom
Na 0.000 0.000 0.000
Tc 0.000 2.212 2.196
Tc 2.212 0.000 2.196
Ru 2.212 2.212 0.000
S 2.212 2.212 2.196
CELL_PARAMETERS angstrom
4.424 0.000 0.000
0.000 4.424 0.000
0.000 0.000 4.392
! - Size of the total moment: 1.9 μB/f.u.
! - Uncorrected energy: -32.58 eV/cell
! - V: 17.193 Å³/atom
! - Formation energy (no corrections): 0.58 eV/atom
! - Space-group type: P4/mmm
! - Theoretical density: 6.80 g cm⁻³

Among the records above, which one has the lowest uncorrected energy?
Hf5Ti2Sn4